# 1
First-principles (GGA-PBE) data for a relaxed structure of HoScCl6, as listed in the Alexandria database. Values from VASP.

Quantum ESPRESSO input file:
```
&SYSTEM
  ibrav = 0, nat = 8, ntyp = 3
/
ATOMIC_SPECIES
Ho 164.93 Ho.upf
Sc 44.96 Sc.upf
Cl 35.45 Cl.upf
CELL_PARAMETERS angstrom
-3.3735 -1.7205 5.1543
3.1447 -4.8719 2.7078
4.8716 1.6522 4.8779
ATOMIC_POSITIONS crystal
Ho 0.5000 0.5000 0.0000
Sc 0.0000 0.0000 0.0000
Cl 0.7612 0.3744 0.7261
Cl 0.7612 0.1005 0.2739
Cl 0.2388 0.8995 0.7261
Cl 0.2388 0.6256 0.2739
Cl 0.7570 0.7550 0.0000
Cl 0.2430 0.2450 0.0000
```

Offset from the most stable computed form   0.0 meV/atom
Raw formation energy   -17.3 eV/f.u.

# 2
First-principles (GGA-PBE) data for a relaxed structure of HoScCl4, as listed in the Alexandria database. Values from VASP.

Quantum ESPRESSO input file:
```
&SYSTEM
  ibrav = 0, nat = 12, ntyp = 3
/
ATOMIC_SPECIES
Ho 164.93 Ho.upf
Sc 44.96 Sc.upf
Cl 35.45 Cl.upf
CELL_PARAMETERS angstrom
-5.7912 0.7087 2.7962
4.0358 -3.1205 3.9674
3.2499 8.2499 -0.2543
ATOMIC_POSITIONS crystal
Ho 0.3090 0.5590 0.1180
Ho 0.6910 0.4410 0.8820
Sc 0.8038 0.0538 0.1075
Sc 0.1962 0.9462 0.8925
Cl 0.3215 0.0740 0.6659
Cl 0.0682 0.8272 0.1338
Cl 0.1556 0.4082 0.3341
Cl 0.4343 0.6933 0.8662
Cl 0.6785 0.9260 0.3341
Cl 0.8444 0.5918 0.6659
Cl 0.9318 0.1728 0.8662
Cl 0.5657 0.3067 0.1338
```

Raw formation energy   -10.9 eV/f.u.

# 3
First-principles (GGA-PBE) data for a relaxed structure of HoScCl6, as listed in the Alexandria database. Values from VASP.

Quantum ESPRESSO input file:
```
&SYSTEM
  ibrav = 0, nat = 8, ntyp = 3
/
ATOMIC_SPECIES
Ho 164.93 Ho.upf
Sc 44.96 Sc.upf
Cl 35.45 Cl.upf
CELL_PARAMETERS angstrom
-6.5448 -0.0565 -0.3618
-3.1439 -5.5023 -1.6754
-3.5302 -3.4130 5.0078
ATOMIC_POSITIONS crystal
Ho 0.0000 0.0000 0.0000
Sc 0.5000 0.5000 0.5000
Cl 0.1142 0.4012 0.7434
Cl 0.7413 0.1141 0.7434
Cl 0.5989 0.2587 0.2566
Cl 0.2587 0.8859 0.2566
Cl 0.8858 0.5988 0.2566
Cl 0.4011 0.7413 0.7434
```

Offset from the most stable computed form   15.0 meV/atom
Raw formation energy   -17.2 eV/f.u.

# 4
First-principles (GGA-PBE) data for a relaxed structure of HoScCl, as listed in the Alexandria database. Values from VASP.

Quantum ESPRESSO input file:
```
&SYSTEM
  ibrav = 0, nat = 3, ntyp = 3
/
ATOMIC_SPECIES
Sc 44.96 Sc.upf
Ho 164.93 Ho.upf
Cl 35.45 Cl.upf
CELL_PARAMETERS angstrom
3.5291 0.0000 0.0000
-1.7645 3.0563 0.0000
0.0000 0.0000 6.6813
ATOMIC_POSITIONS crystal
Sc 0.6667 0.3333 0.3594
Ho 0.0000 0.0000 0.9848
Cl 0.3333 0.6667 0.6558
```

Raw formation energy   -2.6 eV/f.u.

# 5
First-principles (GGA-PBE) data for a relaxed structure of HoSeCl, as listed in the Alexandria database. Values from VASP.

Quantum ESPRESSO input file:
```
&SYSTEM
  ibrav = 0, nat = 6, ntyp = 3
/
ATOMIC_SPECIES
Ho 164.93 Ho.upf
Se 78.96 Se.upf
Cl 35.45 Cl.upf
CELL_PARAMETERS angstrom
3.8368 0.0000 -0.7246
-0.1368 3.8343 -0.7246
0.1829 0.1896 11.4894
ATOMIC_POSITIONS crystal
Ho 0.5884 0.0884 0.1768
Ho 0.9116 0.4116 0.8232
Se 0.0465 0.5465 0.0931
Se 0.4535 0.9535 0.9069
Cl 0.6726 0.6726 0.3452
Cl 0.3274 0.3274 0.6548
```

Raw formation energy   -5.9 eV/f.u.

# 6
First-principles (GGA-PBE) data for a relaxed structure of HoSeCl, as listed in the Alexandria database. Values from VASP.

Quantum ESPRESSO input file:
```
&SYSTEM
  ibrav = 0, nat = 6, ntyp = 3
/
ATOMIC_SPECIES
Ho 164.93 Ho.upf
Se 78.96 Se.upf
Cl 35.45 Cl.upf
CELL_PARAMETERS angstrom
4.0759 0.0002 -0.0002
0.0006 6.8484 0.1593
0.0003 0.6506 6.9572
ATOMIC_POSITIONS crystal
Ho 0.8222 0.0624 0.8505
Ho 0.3224 0.0622 0.3506
Se 0.8224 0.2870 0.1514
Se 0.8225 0.8375 0.5499
Cl 0.3222 0.2767 0.6676
Cl 0.3223 0.8480 0.0334
```

Raw formation energy   -5.8 eV/f.u.

# 7
First-principles (GGA-PBE) data for a relaxed structure of Ho3SeCl7, as listed in the Alexandria database. Values from VASP.

Quantum ESPRESSO input file:
```
&SYSTEM
  ibrav = 0, nat = 11, ntyp = 3
/
ATOMIC_SPECIES
Ho 164.93 Ho.upf
Se 78.96 Se.upf
Cl 35.45 Cl.upf
CELL_PARAMETERS angstrom
6.8120 0.0000 0.0000
0.0000 8.0295 0.0000
0.0000 -4.0148 6.9538
ATOMIC_POSITIONS crystal
Ho 0.7788 0.4950 0.5050
Ho 0.7788 0.4950 0.9899
Ho 0.7788 0.0101 0.5050
Se 0.5442 0.3333 0.6667
Cl 0.9949 0.1777 0.8223
Cl 0.9949 0.1777 0.3554
Cl 0.0011 0.6667 0.3333
Cl 0.5829 0.8222 0.1778
Cl 0.5829 0.3556 0.1778
Cl 0.5829 0.8222 0.6444
Cl 0.9949 0.6446 0.8223
```

Raw formation energy   -24.1 eV/f.u.

# 8
First-principles (GGA-PBE) data for a relaxed structure of HoSeCl, as listed in the Alexandria database. Values from VASP.

Quantum ESPRESSO input file:
```
&SYSTEM
  ibrav = 0, nat = 3, ntyp = 3
/
ATOMIC_SPECIES
Ho 164.93 Ho.upf
Se 78.96 Se.upf
Cl 35.45 Cl.upf
CELL_PARAMETERS angstrom
4.7721 0.0000 0.0000
2.3861 4.1328 0.0000
2.3861 1.3776 3.8964
ATOMIC_POSITIONS crystal
Ho 0.2500 0.2500 0.2500
Se 0.0000 0.0000 0.0000
Cl 0.5000 0.5000 0.5000
```

Raw formation energy   -5.7 eV/f.u.

# 9
First-principles (GGA-PBE) data for a relaxed structure of HoSeCl, as listed in the Alexandria database. Values from VASP.

Quantum ESPRESSO input file:
```
&SYSTEM
  ibrav = 0, nat = 12, ntyp = 3
/
ATOMIC_SPECIES
Ho 164.93 Ho.upf
Se 78.96 Se.upf
Cl 35.45 Cl.upf
CELL_PARAMETERS angstrom
-2.9364 2.8299 1.2369
-2.8488 1.6717 -10.5876
-3.7386 -5.4228 3.5315
ATOMIC_POSITIONS crystal
Ho 0.2499 0.5677 0.8002
Ho 0.7499 0.9323 0.1998
Ho 0.7501 0.4323 0.1998
Ho 0.2501 0.0677 0.8002
Se 0.2499 0.8507 0.9210
Se 0.7499 0.6493 0.0790
Se 0.7501 0.1493 0.0790
Se 0.2501 0.3507 0.9210
Cl 0.2500 0.5867 0.4362
Cl 0.7500 0.9133 0.5638
Cl 0.7500 0.4133 0.5638
Cl 0.2500 0.0867 0.4362
```

Raw formation energy   -6.1 eV/f.u.

# 10
First-principles (GGA-PBE) data for a relaxed structure of HoSeCl, as listed in the Alexandria database. Values from VASP.

Quantum ESPRESSO input file:
```
&SYSTEM
  ibrav = 0, nat = 3, ntyp = 3
/
ATOMIC_SPECIES
Ho 164.93 Ho.upf
Se 78.96 Se.upf
Cl 35.45 Cl.upf
CELL_PARAMETERS angstrom
6.7678 0.0000 0.0000
0.0000 4.0634 0.0000
0.0000 -2.0317 3.5190
ATOMIC_POSITIONS crystal
Ho 0.9934 0.0000 0.0000
Se 0.7803 0.6667 0.3333
Cl 0.2263 0.3333 0.6667
```

Raw formation energy   -6.0 eV/f.u.

# 11
First-principles (GGA-PBE) data for a relaxed structure of Ho2SiCl, as listed in the Alexandria database. Values from VASP.

Quantum ESPRESSO input file:
```
&SYSTEM
  ibrav = 0, nat = 4, ntyp = 3
/
ATOMIC_SPECIES
Si 28.09 Si.upf
Ho 164.93 Ho.upf
Cl 35.45 Cl.upf
CELL_PARAMETERS angstrom
4.1081 0.0000 0.0000
2.0540 3.5577 0.0000
2.0540 1.1859 6.6175
ATOMIC_POSITIONS crystal
Si 0.0000 0.0000 0.0000
Ho 0.2601 0.2601 0.2196
Ho 0.7399 0.7399 0.7804
Cl 0.5000 0.5000 0.5000
```

Offset from the most stable computed form   0.0 meV/atom
Raw formation energy   -4.4 eV/f.u.

# 12
First-principles (GGA-PBE) data for a relaxed structure of Ho2SiCl, as listed in the Alexandria database. Values from VASP.

Quantum ESPRESSO input file:
```
&SYSTEM
  ibrav = 0, nat = 4, ntyp = 3
/
ATOMIC_SPECIES
Ho 164.93 Ho.upf
Si 28.09 Si.upf
Cl 35.45 Cl.upf
CELL_PARAMETERS angstrom
-1.4759 -2.4759 2.8173
1.4370 -3.7503 0.3401
4.9287 0.2370 5.6733
ATOMIC_POSITIONS crystal
Ho 0.0702 0.0702 0.7894
Ho 0.2652 0.2652 0.2045
Si 0.6684 0.6684 0.9947
Cl 0.4962 0.4962 0.5114
```

Offset from the most stable computed form   65.2 meV/atom
Raw formation energy   -4.1 eV/f.u.

# 13
First-principles (GGA-PBE) data for a relaxed structure of Ho2SiCl3, as listed in the Alexandria database. Values from VASP.

Quantum ESPRESSO input file:
```
&SYSTEM
  ibrav = 0, nat = 12, ntyp = 3
/
ATOMIC_SPECIES
Ho 164.93 Ho.upf
Si 28.09 Si.upf
Cl 35.45 Cl.upf
CELL_PARAMETERS angstrom
-0.0398 -1.0202 3.7828
6.4679 -6.6021 0.3168
7.3936 5.3984 3.5630
ATOMIC_POSITIONS crystal
Ho 0.8734 0.4284 0.8249
Ho 0.1266 0.5716 0.1751
Ho 0.6153 0.2098 0.5597
Ho 0.3847 0.7902 0.4403
Si 0.4377 0.5044 0.6202
Si 0.5623 0.4956 0.3798
Cl 0.0480 0.1421 0.7618
Cl 0.9520 0.8579 0.2382
Cl 0.6777 0.6677 0.9768
Cl 0.3223 0.3323 0.0232
Cl 0.7576 0.8776 0.6072
Cl 0.2424 0.1224 0.3928
```

Raw formation energy   -9.5 eV/f.u.

# 14
First-principles (GGA-PBE) data for a relaxed structure of Ho2SiCl, as listed in the Alexandria database. Values from VASP.

Quantum ESPRESSO input file:
```
&SYSTEM
  ibrav = 0, nat = 8, ntyp = 3
/
ATOMIC_SPECIES
Ho 164.93 Ho.upf
Si 28.09 Si.upf
Cl 35.45 Cl.upf
CELL_PARAMETERS angstrom
-4.0118 -0.3370 -1.0207
-1.7254 -0.5208 6.9519
-0.7253 7.3373 0.3771
ATOMIC_POSITIONS crystal
Ho 0.0310 0.8906 0.9038
Ho 0.0322 0.5581 0.5166
Ho 0.5315 0.3907 0.9038
Ho 0.5326 0.0581 0.5166
Si 0.0320 0.2244 0.7161
Si 0.5316 0.7244 0.7161
Cl 0.0330 0.8918 0.2749
Cl 0.5332 0.3919 0.2749
```

Offset from the most stable computed form   26.8 meV/atom
Raw formation energy   -4.3 eV/f.u.

# 15
First-principles (GGA-PBE) data for a relaxed structure of Ho4SiCl5, as listed in the Alexandria database. Values from VASP.

Quantum ESPRESSO input file:
```
&SYSTEM
  ibrav = 0, nat = 10, ntyp = 3
/
ATOMIC_SPECIES
Ho 164.93 Ho.upf
Si 28.09 Si.upf
Cl 35.45 Cl.upf
CELL_PARAMETERS angstrom
-1.5564 -3.5963 0.1632
5.9299 -2.3425 4.9353
-5.3501 4.7000 5.4199
ATOMIC_POSITIONS crystal
Ho 0.3457 0.9143 0.6913
Ho 0.9994 0.7699 0.9988
Ho 0.6543 0.0857 0.3087
Ho 0.0006 0.2301 0.0012
Si 0.5000 0.0000 0.0000
Cl 0.8335 0.6753 0.6670
Cl 0.8267 0.1480 0.6533
Cl 0.1733 0.8520 0.3467
Cl 0.5000 0.5000 0.0000
Cl 0.1665 0.3247 0.3330
```

Raw formation energy   -16.7 eV/f.u.

# 16
First-principles (GGA-PBE) data for a relaxed structure of Ho3SiCl3, as listed in the Alexandria database. Values from VASP.

Quantum ESPRESSO input file:
```
&SYSTEM
  ibrav = 0, nat = 14, ntyp = 3
/
ATOMIC_SPECIES
Ho 164.93 Ho.upf
Si 28.09 Si.upf
Cl 35.45 Cl.upf
CELL_PARAMETERS angstrom
6.4497 0.0000 2.0727
2.8918 5.7651 2.0727
0.0329 0.0203 10.9688
ATOMIC_POSITIONS crystal
Ho 0.9479 0.2828 0.1563
Ho 0.6130 0.9479 0.1563
Ho 0.2828 0.6130 0.1563
Ho 0.7172 0.3870 0.8437
Ho 0.3870 0.0521 0.8437
Ho 0.0521 0.7172 0.8437
Si 0.6667 0.6667 0.0000
Si 0.3333 0.3333 0.0000
Cl 0.2287 0.8950 0.3151
Cl 0.5612 0.2287 0.3151
Cl 0.8950 0.5612 0.3151
Cl 0.1050 0.4388 0.6849
Cl 0.4388 0.7713 0.6849
Cl 0.7713 0.1050 0.6849
```

Raw formation energy   -10.7 eV/f.u.

# 17
First-principles (GGA-PBE) data for a relaxed structure of Ho8Si3Te4Cl, as listed in the Alexandria database. Values from VASP.

Quantum ESPRESSO input file:
```
&SYSTEM
  ibrav = 0, nat = 16, ntyp = 4
/
ATOMIC_SPECIES
Ho 164.93 Ho.upf
Si 28.09 Si.upf
Te 127.60 Te.upf
Cl 35.45 Cl.upf
CELL_PARAMETERS angstrom
8.3613 0.0000 0.0000
0.0000 8.5300 0.1120
-4.1807 -4.1764 5.9150
ATOMIC_POSITIONS crystal
Ho 0.2471 0.7190 0.9718
Ho 0.2474 0.7194 0.4948
Ho 0.2609 0.2827 0.5218
Ho 0.7248 0.7190 0.9718
Ho 0.2752 0.2810 0.0282
Ho 0.7391 0.7173 0.4782
Ho 0.7526 0.2806 0.5052
Ho 0.7529 0.2810 0.0282
Si 0.5000 0.5000 0.0000
Si 0.5000 0.5000 0.5000
Si 0.0000 0.5000 0.5000
Te 0.5000 0.0000 0.0000
Te 0.5000 0.0000 0.5000
Te 0.0000 0.0000 0.0000
Te 0.0000 0.0000 0.5000
Cl 0.0000 0.5000 0.0000
```

Raw formation energy   -18.7 eV/f.u.

# 18
First-principles (GGA-PBE) data for a relaxed structure of SmHo3Cl, as listed in the Alexandria database. Values from VASP.

Quantum ESPRESSO input file:
```
&SYSTEM
  ibrav = 0, nat = 5, ntyp = 3
/
ATOMIC_SPECIES
Ho 164.93 Ho.upf
Sm 150.36 Sm.upf
Cl 35.45 Cl.upf
CELL_PARAMETERS angstrom
5.2748 0.0000 0.0000
0.0000 5.2748 0.0000
0.0000 0.0000 5.2748
ATOMIC_POSITIONS crystal
Ho 0.0000 0.5000 0.0000
Ho 0.0000 0.0000 0.5000
Ho 0.5000 0.0000 0.0000
Sm 0.5000 0.5000 0.5000
Cl 0.0000 0.0000 0.0000
```

Raw formation energy   -2.2 eV/f.u.

# 19
First-principles (GGA-PBE) data for a relaxed structure of Sm2HoCl, as listed in the Alexandria database. Values from VASP.

Quantum ESPRESSO input file:
```
&SYSTEM
  ibrav = 0, nat = 4, ntyp = 3
/
ATOMIC_SPECIES
Ho 164.93 Ho.upf
Sm 150.36 Sm.upf
Cl 35.45 Cl.upf
CELL_PARAMETERS angstrom
-2.7706 -2.3483 -0.1524
0.2124 -2.9247 -2.1482
3.2359 -7.0781 6.8811
ATOMIC_POSITIONS crystal
Ho 0.5000 0.5000 0.5000
Sm 0.7398 0.7398 0.7805
Sm 0.2602 0.2602 0.2195
Cl 0.0000 0.0000 0.0000
```

Raw formation energy   -2.6 eV/f.u.

# 20
First-principles (GGA-PBE) data for a relaxed structure of HoSn2Cl8, as listed in the Alexandria database. Values from VASP.

Quantum ESPRESSO input file:
```
&SYSTEM
  ibrav = 0, nat = 11, ntyp = 3
/
ATOMIC_SPECIES
Ho 164.93 Ho.upf
Sn 118.71 Sn.upf
Cl 35.45 Cl.upf
CELL_PARAMETERS angstrom
6.9643 -0.0279 1.7249
1.7262 7.0403 2.0838
0.3494 0.1881 7.5320
ATOMIC_POSITIONS crystal
Ho 0.0000 0.0000 0.0000
Sn 0.7857 0.6581 0.6581
Sn 0.2143 0.3419 0.3419
Cl 0.7631 0.9580 0.3445
Cl 0.2369 0.6555 0.0420
Cl 0.7512 0.8838 0.8838
Cl 0.2488 0.1162 0.1162
Cl 0.7631 0.3445 0.9580
Cl 0.2369 0.0420 0.6555
Cl 0.1613 0.5814 0.5814
Cl 0.8387 0.4186 0.4186
```

Offset from the most stable computed form   0.0 meV/atom
Raw formation energy   -14.8 eV/f.u.